## 1
CeCdAu3 | Alexandria | PBE | relaxed; total magnetization = 0.20 μB per atom
1.0
1.658 -13.813 0.000
1.658 13.813 0.000
0.000 0.000 4.762
Ce Cd Au
2 2 6
direct
0.076 0.924 0.750
0.924 0.076 0.250
0.214 0.786 0.250
0.786 0.214 0.750
0.317 0.683 0.250
0.374 0.626 0.750
0.474 0.526 0.750
0.526 0.474 0.250
0.626 0.374 0.250
0.683 0.317 0.750

***

## 2
CeCdAu3 | Alexandria | PBE | relaxed; total magnetization = 0.19 μB per atom
1.0
9.274 -2.593 0.000
9.274 2.593 0.000
-1.395 0.000 4.908
Ce Cd Au
2 2 6
direct
0.114 0.114 0.365
0.886 0.886 0.635
0.373 0.373 0.123
0.627 0.627 0.877
0.204 0.204 0.954
0.290 0.290 0.540
0.468 0.468 0.718
0.532 0.532 0.282
0.710 0.710 0.460
0.796 0.796 0.046

***

Each structure's energy above the most stable one, in meV per atom: 1 0; 2 96.

***

## 1
CdAuCl | Alexandria | PBE | relaxed; total magnetization = 0.00 μB per atom
1.0
13.198 0.000 0.000
0.000 1.821 3.078
0.000 -1.821 3.078
Cd Au Cl
2 2 2
direct
0.000 0.000 0.000
0.500 0.158 0.158
0.358 0.821 0.821
0.642 0.821 0.821
0.127 0.337 0.337
0.873 0.337 0.337

***

## 2
CdAuCl | Alexandria | PBE | relaxed; total magnetization = 0.00 μB per atom
1.0
3.712 0.000 0.000
-1.856 3.215 0.000
0.000 0.000 5.887
Cd Au Cl
1 1 1
direct
0.000 0.000 0.000
0.333 0.667 0.703
0.667 0.333 0.296

***

## 3
CdAuCl | Alexandria | PBE | relaxed; total magnetization = 0.00 μB per atom
1.0
0.000 3.353 3.353
3.353 0.000 3.353
3.353 3.353 0.000
Cd Au Cl
1 1 1
direct
0.000 0.000 0.000
0.250 0.250 0.250
0.750 0.750 0.750

***

## 4
CdAuCl | Alexandria | PBE | relaxed; total magnetization = 0.00 μB per atom
1.0
0.000 2.332 6.131
2.311 0.000 6.131
2.311 2.332 0.000
Cd Au Cl
1 1 1
direct
0.000 0.000 0.000
0.360 0.360 0.640
0.640 0.640 0.360

***

Each structure's energy above the most stable one, in meV per atom: 1 72; 2 0; 3 251; 4 108.

***

## 1
CdAu3Cl | Alexandria | PBE | relaxed; total magnetization = 0.00 μB per atom
1.0
5.035 0.000 0.000
0.000 5.035 0.000
0.000 0.000 5.035
Cd Au Cl
1 3 1
direct
0.000 0.000 0.000
0.000 0.500 0.500
0.500 0.000 0.500
0.500 0.500 0.000
0.500 0.500 0.500

***

## 2
CdAu3Cl | Alexandria | PBE | relaxed; total magnetization = 0.00 μB per atom
1.0
5.223 0.000 0.000
0.000 5.223 0.000
0.000 0.000 5.223
Cd Au Cl
1 3 1
direct
0.000 0.000 0.000
0.000 0.000 0.500
0.000 0.500 0.000
0.500 0.000 0.000
0.500 0.500 0.500

***

Each structure's energy above the most stable one, in meV per atom: 1 34; 2 0.

***

## 1
CdAuCl3 | Alexandria | PBE | relaxed; total magnetization = 0.00 μB per atom
1.0
5.069 0.000 0.000
0.000 5.069 0.000
0.000 0.000 5.069
Cd Au Cl
1 1 3
direct
0.000 0.000 0.000
0.500 0.500 0.500
0.000 0.500 0.500
0.500 0.000 0.500
0.500 0.500 0.000

***

## 2
CdAuCl3 | Alexandria | PBE | relaxed; total magnetization = 0.00 μB per atom
1.0
5.152 0.000 0.000
0.000 5.152 0.000
0.000 0.000 5.152
Cd Au Cl
1 1 3
direct
0.000 0.000 0.000
0.500 0.500 0.500
0.000 0.000 0.500
0.000 0.500 0.000
0.500 0.000 0.000

***

Each structure's energy above the most stable one, in meV per atom: 1 40; 2 0.